Record 1
First-principles (GGA-PBE) data for a geometry-optimized Zr3PtC structure, as listed in Alexandria via LeMat-Bulk.

## Properties
Energy of formation from the pure elements = -0.83 eV/atom
Energy above the lowest structure with this stoichiometry = 0.000 eV per atom
Magnetic moment = 0.000 μB per atom
Theoretical density = 8.92 Mg/m³

Cell: 6.1142 6.1142 9.0358 Å, 90.00 90.00 148.01°
Fractional coordinates of all 10 atoms:
Zr  0.0575  0.9425  0.7500
Zr  0.3720  0.6280  0.5582
Zr  0.3720  0.6280  0.9418
Zr  0.6280  0.3720  0.0582
Zr  0.6280  0.3720  0.4418
Zr  0.9425  0.0575  0.2500
Pt  0.2521  0.7479  0.2500
Pt  0.7479  0.2521  0.7500
C  0.0000  0.0000  0.0000
C  0.0000  0.0000  0.5000

***

Record 2
First-principles (GGA-PBE) data for a geometry-optimized PrDySe2O structure, as listed in Alexandria via LeMat-Bulk.

## Properties
E_form (uncorrected) = -2373 meV/atom
Magnetic moment = 0.000 μB per atom
Theoretical density = 6.54 Mg/m³

Cell: 4.0700 4.0700 14.6368 Å, 90.00 90.00 90.00°
Fractional coordinates of all 10 atoms:
Pr  0.2500  0.2500  0.0828
Pr  0.7500  0.7500  0.9172
Dy  0.2500  0.2500  0.6229
Dy  0.7500  0.7500  0.3771
Se  0.2500  0.2500  0.4108
Se  0.2500  0.2500  0.8024
Se  0.7500  0.7500  0.1976
Se  0.7500  0.7500  0.5892
O  0.2500  0.7500  0.0000
O  0.7500  0.2500  0.0000

***

Record 3
First-principles (GGA-PBE) data for a geometry-optimized YScAlZn structure, as listed in Alexandria via LeMat-Bulk.

## Properties
Energy of formation from the pure elements = -0.39 eV/atom
Magnetic moment = 0.000 μB per atom
Theoretical density = 4.42 Mg/m³

Cell: 4.9360 4.9360 4.9360 Å, 60.00 60.00 60.00°
Fractional coordinates of all 4 atoms:
Y  0.0000  0.0000  0.0000
Sc  0.5000  0.5000  0.5000
Al  0.7500  0.7500  0.7500
Zn  0.2500  0.2500  0.2500

***

Record 4
First-principles (GGA-PBE) data for a geometry-optimized CaTlOs2 structure, as listed in Alexandria via LeMat-Bulk.

## Properties
Energy of formation from the pure elements = 1.01 eV/atom
Energy above the lowest structure with this stoichiometry = 0.713 eV per atom
Magnetic moment = 0.463 μB per atom
Theoretical density = 12.95 Mg/m³

Cell: 3.5320 3.5320 6.4249 Å, 90.00 90.00 90.00°
Fractional coordinates of all 4 atoms:
Ca  0.0000  0.0000  0.0000
Tl  0.0000  0.0000  0.5000
Os  0.5000  0.5000  0.2940
Os  0.5000  0.5000  0.7060